VASP calculation (PBE+U) on an optimized crystal structure of Zn2CrWO6.

Results
excess energy over the best structure of this formula in the dataset: 39 meV/atom
E_tot: -6.37 eV per atom
N(E_F): 0.269 states/eV/atom

Unit cell a=5.2428 b=5.2428 c=13.9548 alpha=90.00 beta=90.00 gamma=120.00
Space group R3 (No. 146, hexagonal axes)
Symmetry-distinct sites (fractional):
Zn 0.0000 0.0000 0.0000 [3 per cell]
Zn 0.0000 0.0000 0.4498 [3 per cell]
Cr 0.0000 0.0000 0.7260 [3 per cell]
W 0.0000 0.0000 0.2257 [3 per cell]
O 0.0118 0.3763 0.9787 [9 per cell]
O 0.0424 0.6980 0.8069 [9 per cell]